A plane-wave DFT calculation with GGA-PBE was carried out for an optimized crystal structure of PmAgO3.

E_tot in eV per cell: -179.0
Magnetic moment in μB per formula unit: 0.00
Theoretical density in g/cm3: 7.03

abc: 5.8076 5.8076 14.5918
angles: 90.00 90.00 120.00
Space group R-3 (No. 148, hexagonal axes)
Inequivalent atoms, fractional coordinates:
Pm (0.0000, 0.0000, 0.1310) x6
Ag (0.0000, 0.0000, 0.3513) x6
O (0.0217, 0.2997, 0.2522) x18

---

A plane-wave DFT calculation with GGA-PBE was carried out for an optimized crystal structure of PmGdBe.

E_tot in eV per cell: -41.7
Magnetic moment in μB per formula unit: 0.00
Theoretical density in g/cm3: 6.54

abc: 6.8137 6.8137 6.8137
angles: 90.00 90.00 90.00
Space group F-43m (No. 216)
Inequivalent atoms, fractional coordinates:
Pm (0.0000, 0.0000, 0.0000) x4
Gd (0.2500, 0.2500, 0.2500) x4
Be (0.2500, 0.2500, 0.7500) x4

---

A plane-wave DFT calculation with GGA-PBE was carried out for an optimized crystal structure of PmGeMo.

Polymorph energy (0 for the lowest one) in eV per atom: 0.000
E_tot in eV per cell: -78.6
Magnetic moment in μB per formula unit: 0.41
Theoretical density in g/cm3: 7.55

abc: 6.5089 6.5089 6.5089
angles: 90.00 90.00 90.00
Space group F-43m (No. 216)
Inequivalent atoms, fractional coordinates:
Pm (0.0000, 0.0000, 0.0000) x4
Ge (0.2500, 0.2500, 0.7500) x4
Mo (0.0000, 0.0000, 0.5000) x4